1.
Compound: Cr3Re
Source: Alexandria
Functional: meta-GGA SCAN
Structure: PBEsol geometry

abc: 2.542 4.055 4.797
angles: 90.00 100.23 90.00
Space group P2/m (No. 10)
Symmetry-distinct sites (fractional):
Cr: 0.000 0.000 0.000 x1
Cr: 0.252 0.500 0.762 x2
Re: 0.500 0.000 0.500 x1

Calculated values
D(E_F): 3.507 states/eV/f.u.
Formation enthalpy at 0 K: -0.005 eV/atom

2.
Compound: BeNiRu
Source: Alexandria
Functional: meta-GGA SCAN
Structure: PBEsol geometry

abc: 5.152 5.152 5.152
angles: 90.00 90.00 90.00
Space group F-43m (No. 216)
Symmetry-distinct sites (fractional):
Be: 0.000 0.000 0.000 x4
Ni: 0.250 0.250 0.750 x4
Ru: 0.250 0.250 0.250 x4

Calculated values
D(E_F): 3.454 states/eV/f.u.
Formation enthalpy at 0 K: 0.206 eV/atom

3.
Compound: NdInPt
Source: Alexandria
Functional: meta-GGA SCAN
Structure: PBEsol geometry

abc: 7.6474 7.6474 3.9611
angles: 90.00 90.00 120.00
Space group P-62m (No. 189)
Symmetry-distinct sites (fractional):
Nd: 0.0000 0.4095 0.0000 x3
In: 0.0000 0.7454 0.5000 x3
Pt: 0.0000 0.0000 0.0000 x1
Pt: 0.3333 0.6667 0.5000 x2

Calculated values
D(E_F): 2.078 states/eV/f.u.
Formation enthalpy at 0 K: -1.160 eV/atom

4.
Compound: Ca8Mg5Fe2Si16O48
Source: Alexandria
Functional: meta-GGA SCAN
Structure: PBEsol geometry

abc: 12.234 8.922 16.203
angles: 90.00 93.97 90.00
Space group C2 (No. 5)
Symmetry-distinct sites (fractional):
Ca: 0.000 0.000 0.000 x2
Ca: 0.000 0.491 0.500 x2
Ca: 0.111 0.405 0.887 x4
Ca: 0.128 0.890 0.377 x4
Ca: 0.248 0.491 0.244 x4
Mg: 0.000 0.101 0.500 x2
Mg: 0.127 0.282 0.375 x4
Mg: 0.244 0.597 0.750 x4
Fe: 0.117 0.781 0.881 x4
Si: 0.012 0.095 0.774 x4
Si: 0.018 0.601 0.273 x4
Si: 0.111 0.787 0.603 x4
Si: 0.119 0.281 0.104 x4
Si: 0.136 0.284 0.648 x4
Si: 0.145 0.792 0.150 x4
Si: 0.237 0.598 0.477 x4
Si: 0.239 0.100 0.975 x4
O: 0.012 0.675 0.637 x4
O: 0.018 0.168 0.135 x4
O: 0.029 0.279 0.584 x4
O: 0.033 0.804 0.091 x4
O: 0.050 0.944 0.587 x4
O: 0.069 0.444 0.096 x4
O: 0.076 0.442 0.289 x4
O: 0.076 0.938 0.790 x4
O: 0.087 0.609 0.793 x4
O: 0.096 0.098 0.289 x4
O: 0.110 0.205 0.738 x4
O: 0.117 0.715 0.241 x4
O: 0.137 0.208 0.010 x4
O: 0.137 0.710 0.512 x4
O: 0.156 0.103 0.459 x4
O: 0.159 0.615 0.957 x4
O: 0.176 0.440 0.462 x4
O: 0.178 0.939 0.960 x4
O: 0.195 0.443 0.663 x4
O: 0.213 0.944 0.163 x4
O: 0.218 0.780 0.667 x4
O: 0.230 0.269 0.165 x4
O: 0.237 0.175 0.613 x4
O: 0.238 0.673 0.115 x4

Calculated values
D(E_F): 0.000 states/eV/f.u.
Energy relative to the elements, uncorrected: -3.10 eV/atom

5.
Compound: HgIrRu2
Source: Alexandria
Functional: meta-GGA SCAN
Structure: PBEsol geometry

abc: 3.863 3.863 7.973
angles: 90.00 90.00 90.00
Space group I-4m2 (No. 119)
Symmetry-distinct sites (fractional):
Hg: 0.000 0.000 0.000 x2
Ir: 0.000 0.500 0.250 x2
Ru: 0.000 0.000 0.500 x2
Ru: 0.000 0.500 0.750 x2

Calculated values
D(E_F): 4.907 states/eV/f.u.
Formation enthalpy at 0 K: 0.537 eV/atom

6.
Compound: MgTa2W2
Source: Alexandria
Functional: meta-GGA SCAN
Structure: PBEsol geometry

abc: 3.784 3.784 13.482
angles: 90.00 90.00 90.00
Space group I4/mmm (No. 139)
Symmetry-distinct sites (fractional):
Mg: 0.000 0.000 0.000 x2
Ta: 0.000 0.000 0.397 x4
W: 0.000 0.500 0.250 x4

Calculated values
D(E_F): 6.542 states/eV/f.u.
Formation enthalpy at 0 K: 0.917 eV/atom